1.
Computed, not measured: a relaxed structure of Ta2TlGeB at the PBE level of DFT.

Summary:
* calculated formation energy: 15.2 eV/f.u.
* raw total energy: -4.43 eV/atom
* total magnetic moment: 2.5 Bohr magnetons per cell
* space group: P4/mmm, No. 123

a b c (Å): 5.2261 5.2261 5.0497
angles (deg): 90.00 90.00 90.00
Fractional coordinates of all 5 atoms:
Ta 0.0000 0.5000 0.0000
Ta 0.5000 0.0000 0.0000
Tl 0.0000 0.0000 0.0000
Ge 0.0000 0.0000 0.5000
B 0.5000 0.5000 0.5000


2.
Computed, not measured: a relaxed structure of K2Cu2SnSe6 at the PBE level of DFT.

Summary:
* uncorrected formation energy: -0.37 eV per atom
* raw total energy: -3.57 eV/atom
* total magnetic moment: 0.0 Bohr magnetons per cell
* space group: C2/m, No. 12

a b c (Å): 7.2316 7.2316 6.7225
angles (deg): 105.39 105.39 67.56
Fractional coordinates of all 11 atoms:
K 0.2398 0.2398 0.1856
K 0.7602 0.7602 0.8144
Cu 0.4462 0.4462 0.7739
Cu 0.5538 0.5538 0.2261
Sn 0.0000 0.0000 0.5000
Se 0.2020 0.7241 0.1581
Se 0.2347 0.2347 0.6725
Se 0.2759 0.7980 0.8419
Se 0.7241 0.2020 0.1581
Se 0.7653 0.7653 0.3275
Se 0.7980 0.2759 0.8419


3.
Computed, not measured: a relaxed structure of La2TlRhN at the PBE level of DFT.

Summary:
* uncorrected formation energy: -0.39 eV per atom
* raw total energy: -5.97 eV/atom
* total magnetic moment: 0.0 Bohr magnetons per cell
* space group: P4/mmm, No. 123
* energy above the lowest structure with this stoichiometry: 255.7 meV/atom

a b c (Å): 4.9643 4.9643 4.7267
angles (deg): 90.00 90.00 90.00
Fractional coordinates of all 5 atoms:
La 0.0000 0.5000 0.0000
La 0.5000 0.0000 0.0000
Tl 0.0000 0.0000 0.5000
Rh 0.5000 0.5000 0.5000
N 0.0000 0.0000 0.0000


4.
Computed, not measured: a relaxed structure of Sm3IrSeBr at the PBE level of DFT.

Summary:
* uncorrected formation energy: -1.28 eV per atom
* raw total energy: -5.98 eV/atom
* total magnetic moment: 0.0 Bohr magnetons per cell
* space group: P2_1/m, No. 11

a b c (Å): 7.9950 4.2006 10.0748
angles (deg): 90.00 90.82 90.00
Fractional coordinates of all 12 atoms:
Sm 0.0539 0.2500 0.2435
Sm 0.2684 0.7500 0.4961
Sm 0.3513 0.2500 0.7966
Sm 0.6487 0.7500 0.2034
Sm 0.7316 0.2500 0.5039
Sm 0.9461 0.7500 0.7565
Ir 0.0832 0.2500 0.6141
Ir 0.9168 0.7500 0.3859
Se 0.4308 0.2500 0.3111
Se 0.5692 0.7500 0.6889
Br 0.2216 0.7500 0.9975
Br 0.7784 0.2500 0.0025


5.
Computed, not measured: a relaxed structure of La2Sm2Dy5 at the PBE level of DFT.

Summary:
* calculated formation energy: 1.8 eV/f.u.
* raw total energy: -4.50 eV/atom
* total magnetic moment: 0.0 Bohr magnetons per cell
* space group: Ima2, No. 46
* energy above the lowest structure with this stoichiometry: 0.0 meV/atom

a b c (Å): 10.1991 10.1991 10.1991
angles (deg): 84.94 107.97 141.23
Fractional coordinates of all 18 atoms:
La 0.0026 0.1270 0.1296
La 0.0026 0.3730 0.3756
La 0.9974 0.6270 0.6244
La 0.9974 0.8730 0.8704
Sm 0.4605 0.4605 0.0000
Sm 0.4605 0.9605 0.5000
Sm 0.5333 0.2904 0.7429
Sm 0.5475 0.7904 0.2571
Dy 0.0895 0.6000 0.9895
Dy 0.0933 0.1824 0.6249
Dy 0.0933 0.9683 0.4109
Dy 0.3944 0.0880 0.2007
Dy 0.3944 0.6937 0.8064
Dy 0.5574 0.4683 0.3751
Dy 0.5574 0.6824 0.5891
Dy 0.6105 0.1000 0.0105
Dy 0.8873 0.1937 0.7993
Dy 0.8873 0.5880 0.1936


6.
Computed, not measured: a relaxed structure of Y2MnPd6 at the PBE level of DFT.

Summary:
* calculated formation energy: -3.4 eV/f.u.
* raw total energy: -6.30 eV/atom
* total magnetic moment: 4.6 Bohr magnetons per cell
* space group: Immm, No. 71

a b c (Å): 7.6088 7.6088 7.6088
angles (deg): 151.68 117.99 69.54
Fractional coordinates of all 9 atoms:
Y 0.1532 0.1532 0.0000
Y 0.8468 0.8468 0.0000
Mn 0.5000 0.5000 0.0000
Pd 0.1159 0.3349 0.7810
Pd 0.2720 0.0000 0.2720
Pd 0.4461 0.6651 0.7810
Pd 0.5539 0.3349 0.2190
Pd 0.7280 0.0000 0.7280
Pd 0.8841 0.6651 0.2190


7.
Computed, not measured: a relaxed structure of Li3Cr at the PBE level of DFT.

Summary:
* calculated formation energy: 1.6 eV/f.u.
* raw total energy: -3.44 eV/atom
* total magnetic moment: 4.6 Bohr magnetons per cell
* space group: Fm-3m, No. 225
* energy above the lowest structure with this stoichiometry: 37.9 meV/atom

a b c (Å): 4.6975 4.6975 4.6975
angles (deg): 60.00 60.00 60.00
Fractional coordinates of all 4 atoms:
Li 0.0000 0.0000 0.0000
Li 0.2500 0.2500 0.2500
Li 0.7500 0.7500 0.7500
Cr 0.5000 0.5000 0.5000


8.
Computed, not measured: a relaxed structure of SrLaCo2 at the PBE level of DFT.

Summary:
* calculated formation energy: 1.4 eV/f.u.
* raw total energy: -4.84 eV/atom
* total magnetic moment: 1.3 Bohr magnetons per cell
* space group: Fm-3m, No. 225
* energy above the lowest structure with this stoichiometry: 283.6 meV/atom

a b c (Å): 5.0212 5.0212 5.0212
angles (deg): 60.00 60.00 60.00
Fractional coordinates of all 4 atoms:
Sr 0.0000 0.0000 0.0000
La 0.5000 0.5000 0.5000
Co 0.2500 0.2500 0.2500
Co 0.7500 0.7500 0.7500


9.
Computed, not measured: a relaxed structure of Fe3HgW at the PBE level of DFT.

Summary:
* calculated formation energy: 7.4 eV/f.u.
* raw total energy: -6.26 eV/atom
* total magnetic moment: 4.7 Bohr magnetons per cell
* space group: Pm-3m, No. 221
* energy above the lowest structure with this stoichiometry: 0.0 meV/atom

a b c (Å): 4.5260 4.5260 4.5260
angles (deg): 90.00 90.00 90.00
Fractional coordinates of all 5 atoms:
Fe 0.0000 0.0000 0.5000
Fe 0.0000 0.5000 0.0000
Fe 0.5000 0.0000 0.0000
Hg 0.5000 0.5000 0.5000
W 0.0000 0.0000 0.0000


10.
Computed, not measured: a relaxed structure of InGaSn3 at the PBE level of DFT.

Summary:
* calculated formation energy: 1.8 eV/f.u.
* raw total energy: -3.20 eV/atom
* total magnetic moment: 0.0 Bohr magnetons per cell
* space group: Pm-3m, No. 221
* energy above the lowest structure with this stoichiometry: 313.3 meV/atom

a b c (Å): 5.3794 5.3794 5.3794
angles (deg): 90.00 90.00 90.00
Fractional coordinates of all 5 atoms:
In 0.0000 0.0000 0.0000
Ga 0.5000 0.5000 0.5000
Sn 0.0000 0.5000 0.5000
Sn 0.5000 0.0000 0.5000
Sn 0.5000 0.5000 0.0000


11.
Computed, not measured: a relaxed structure of NpScSn at the PBE level of DFT.

Summary:
* calculated formation energy: -0.3 eV/f.u.
* raw total energy: -7.85 eV/atom
* total magnetic moment: 0.2 Bohr magnetons per cell
* space group: I4/mmm, No. 139

a b c (Å): 12.3501 12.3501 12.3501
angles (deg): 164.22 164.22 22.39
Fractional coordinates of all 6 atoms:
Np 0.2319 0.2319 0.0000
Np 0.7681 0.7681 0.0000
Sc 0.0651 0.0651 0.0000
Sc 0.9349 0.9349 0.0000
Sn 0.3585 0.3585 0.0000
Sn 0.6415 0.6415 0.0000


12.
Computed, not measured: a relaxed structure of MgBe2P at the PBE level of DFT.

Summary:
* calculated formation energy: 0.5 eV/f.u.
* raw total energy: -3.48 eV/atom
* total magnetic moment: 0.0 Bohr magnetons per cell
* space group: R-3m, No. 166
* energy above the lowest structure with this stoichiometry: 146.8 meV/atom

a b c (Å): 6.1626 6.1626 6.1626
angles (deg): 32.37 32.37 32.37
Fractional coordinates of all 4 atoms:
Mg 0.0000 0.0000 0.0000
Be 0.2178 0.2178 0.2178
Be 0.7822 0.7822 0.7822
P 0.5000 0.5000 0.5000


13.
Computed, not measured: a relaxed structure of Sr3ZnBr at the PBE level of DFT.

Summary:
* uncorrected formation energy: -0.36 eV per atom
* raw total energy: -1.96 eV/atom
* total magnetic moment: 0.0 Bohr magnetons per cell
* space group: Pm-3m, No. 221
* energy above the lowest structure with this stoichiometry: 277.0 meV/atom

a b c (Å): 6.1439 6.1439 6.1439
angles (deg): 90.00 90.00 90.00
Fractional coordinates of all 5 atoms:
Sr 0.0000 0.0000 0.5000
Sr 0.0000 0.5000 0.0000
Sr 0.5000 0.0000 0.0000
Zn 0.0000 0.0000 0.0000
Br 0.5000 0.5000 0.5000